VASP calculation (PBE) on a relaxed BaSrSm crystal.

The calculation puts the spin magnetization at 0.000 μB/atom. The energy above the most stable polymorph in this dataset comes out at 0.4020 eV/atom.

Lattice parameters (Å, degrees): 6.3619 6.3619 25.6536 90.00 90.00 120.00
Space group R-3m (No. 166, hexagonal axes)
One atom of each set of equivalent atoms:
Ba 0.0000 0.0000 0.0757 (multiplicity 6)
Sr 0.0000 0.0000 0.3659 (multiplicity 6)
Sm 0.0000 0.0000 0.2099 (multiplicity 6)